First-principles (PBE+U) data for a relaxed structure of SmV2BiO8, as listed in the Alexandria database. Values from VASP.

Output
Symmetry: I-4m2, No. 119
Magnetization (μB/cell): 0.00
Fermi-level density of states (states/eV/atom): 0.000
Crystal system: tetragonal
Total DFT energy (no corrections) (eV per cell): -89.6

Quantum ESPRESSO input file:
```
&SYSTEM
  ibrav = 0, nat = 12, ntyp = 4
/
ATOMIC_SPECIES
Sm 150.36 Sm.upf
V 50.94 V.upf
Bi 208.98 Bi.upf
O 16.00 O.upf
CELL_PARAMETERS angstrom
-3.690 3.690 3.237
3.690 -3.690 3.237
3.690 3.690 -3.237
ATOMIC_POSITIONS angstrom
Sm 0.000 0.000 0.000
V 3.690 0.000 1.618
V 0.000 0.000 3.237
Bi 0.000 3.690 1.618
O 2.343 0.000 0.508
O 5.036 0.000 0.508
O 3.690 2.360 -1.127
O 3.690 -1.347 2.729
O 0.000 1.329 2.110
O 3.690 1.347 2.729
O 2.360 3.690 1.127
O 1.329 0.000 4.363
```